No. 1
ThBC | the Alexandria database | meta-GGA SCAN | single point on PBEsol structure; ΔE_f = -147 kJ/mol of formula units
1.0
-2.591 0.983 2.508
-2.543 0.257 -2.728
-5.983 -24.189 3.296
C B Th
8 8 8
direct
0.797 0.695 0.582
0.203 0.305 0.082
0.695 0.797 0.168
0.203 0.695 0.418
0.797 0.305 0.918
0.305 0.797 0.832
0.695 0.203 0.332
0.305 0.203 0.668
0.833 0.704 0.522
0.704 0.167 0.272
0.296 0.167 0.728
0.833 0.296 0.978
0.296 0.833 0.772
0.167 0.296 0.022
0.167 0.704 0.478
0.704 0.833 0.228
0.303 0.799 0.930
0.201 0.697 0.320
0.201 0.303 0.180
0.697 0.799 0.070
0.799 0.303 0.820
0.697 0.201 0.430
0.799 0.697 0.680
0.303 0.201 0.570

***

No. 2
TePI2Br | the Alexandria database | meta-GGA SCAN | single point on PBEsol structure; final energy = -138.5 eV per cell
1.0
-0.074 -4.266 3.190
5.322 -0.191 -0.132
0.219 3.171 4.245
Te I P Br
1 2 1 1
direct
0.000 0.000 0.500
0.000 0.500 0.000
0.500 0.000 0.000
0.000 0.000 0.000
0.500 0.500 0.500

***

No. 3
Li6YB3O9 | the Alexandria database | meta-GGA SCAN | single point on PBEsol structure; final energy = -688.4 eV per cell
1.0
6.606 0.012 0.000
-1.885 6.897 0.000
0.000 0.000 16.316
Li B Y O
24 12 4 36
direct
0.056 0.694 0.465
0.586 0.135 0.446
0.177 0.072 0.496
0.366 0.716 0.706
0.086 0.135 0.054
0.823 0.928 0.504
0.455 0.439 0.795
0.323 0.928 0.996
0.670 0.544 0.530
0.634 0.284 0.294
0.944 0.306 0.535
0.556 0.694 0.035
0.955 0.439 0.705
0.914 0.865 0.946
0.866 0.716 0.794
0.545 0.561 0.205
0.045 0.561 0.295
0.830 0.456 0.030
0.414 0.865 0.554
0.677 0.072 0.004
0.170 0.544 0.970
0.330 0.456 0.470
0.444 0.306 0.965
0.134 0.284 0.206
0.002 0.714 0.621
0.162 0.086 0.864
0.838 0.914 0.136
0.662 0.086 0.636
0.810 0.441 0.885
0.690 0.559 0.385
0.498 0.286 0.121
0.310 0.441 0.615
0.998 0.286 0.379
0.502 0.714 0.879
0.190 0.559 0.115
0.338 0.914 0.364
0.153 0.081 0.690
0.847 0.919 0.310
0.347 0.919 0.190
0.653 0.081 0.810
0.441 0.259 0.203
0.941 0.259 0.297
0.915 0.536 0.588
0.043 0.882 0.574
0.271 0.724 0.068
0.529 0.992 0.326
0.059 0.741 0.703
0.836 0.149 0.686
0.971 0.008 0.826
0.471 0.008 0.674
0.825 0.910 0.052
0.270 0.422 0.699
0.175 0.090 0.948
0.076 0.392 0.079
0.229 0.276 0.568
0.924 0.608 0.921
0.770 0.422 0.801
0.543 0.882 0.926
0.230 0.578 0.199
0.585 0.464 0.088
0.415 0.536 0.912
0.085 0.464 0.412
0.336 0.149 0.814
0.664 0.851 0.186
0.424 0.608 0.579
0.771 0.724 0.432
0.576 0.392 0.421
0.729 0.276 0.932
0.675 0.090 0.552
0.029 0.992 0.174
0.325 0.910 0.448
0.457 0.118 0.074
0.559 0.741 0.797
0.730 0.578 0.301
0.957 0.118 0.426
0.164 0.851 0.314

***

No. 4
Re2SiTc | the Alexandria database | meta-GGA SCAN | single point on PBEsol structure; final energy = -187.4 eV per cell
1.0
-0.053 2.674 0.707
-1.347 0.802 2.279
6.561 0.103 5.522
Tc Re Si
1 2 1
direct
0.247 0.247 0.259
0.999 0.999 0.002
0.753 0.753 0.742
0.501 0.501 0.497

***

No. 5
BeInSb2 | the Alexandria database | meta-GGA SCAN | single point on PBEsol structure; final energy = -110.8 eV per cell
1.0
3.324 0.000 0.000
0.000 3.389 0.000
0.000 0.000 7.917
Sb In Be
2 1 1
direct
0.000 0.000 0.690
0.000 0.000 0.310
0.500 0.500 0.000
0.500 0.500 0.500

***

No. 6
BePbSe2 | the Alexandria database | meta-GGA SCAN | single point on PBEsol structure; final energy = -119.3 eV per cell
1.0
-2.866 0.308 -1.698
0.357 -3.115 -1.167
-3.569 -2.497 5.571
Pb Se Be
1 2 1
direct
0.500 0.500 0.500
0.000 0.000 0.198
0.000 0.000 0.802
0.500 0.500 0.000

***

No. 7
Mn2BeCoCu | the Alexandria database | meta-GGA SCAN | single point on PBEsol structure; ΔE_f = 332 kJ/mol of formula units
1.0
-2.435 2.789 1.175
-2.247 -2.903 2.235
2.483 0.721 3.433
Mn Co Cu Be
2 1 1 1
direct
0.000 0.000 0.500
0.000 0.500 0.000
0.000 0.000 0.000
0.500 0.500 0.500
0.500 0.000 0.000

***

No. 8
FeCo3 | the Alexandria database | meta-GGA SCAN | single point on PBEsol structure; ΔE_f = -2 kJ/mol of formula units
1.0
-0.351 -2.189 1.046
2.170 0.186 1.125
-6.225 6.242 10.979
Co Fe
6 2
direct
0.750 0.250 0.063
0.750 0.250 0.818
0.250 0.750 0.182
0.250 0.750 0.937
0.750 0.250 0.559
0.250 0.750 0.441
0.250 0.750 0.689
0.750 0.250 0.311